Compound: CaLuCo4
Source: Alexandria via LeMat-Bulk
Functional: PBE
Structure: optimized geometry

Summary:
As for the theoretical density: 8.212 g/cm³. The calculation puts the total magnetic moment at 4.68 μB/cell. The calculation puts the density of states at the Fermi level at 8.11 states/eV/f.u. The formation energy is -0.08 eV per atom.

Cell: 5.0517 5.0517 5.0517 Å, 60.00 60.00 60.00°
Closest atoms and distances in Å follow each position.
Atoms (fractional coordinates):
Ca1 0.0000 0.0000 0.0000  12 Co 2.96, 4 Lu 3.09
Lu1 0.2500 0.2500 0.2500  12 Co 2.96, 4 Ca 3.09
Co1 0.1269 0.6244 0.6244  6 Co 2.51-2.54
Co2 0.6244 0.1269 0.6244  6 Co 2.51-2.54
Co3 0.6244 0.6244 0.1269  6 Co 2.51-2.54
Co4 0.6244 0.6244 0.6244  6 Co 2.51-2.54

---

Compound: CeThH2
Source: Alexandria via LeMat-Bulk
Functional: PBE
Structure: optimized geometry

Summary:
As for the theoretical density: 9.338 g/cm³. The calculation puts the total magnetic moment at 1.02 μB/cell. The calculation puts the density of states at the Fermi level at 5.86 states/eV/f.u. As for the polymorph energy (0 for the lowest one): 0.039 eV per atom.

Cell: 3.5891 3.5891 11.9289 Å, 90.00 90.00 120.00°
Closest atoms and distances in Å follow each position.
Atoms (fractional coordinates):
Ce1 0.3333 0.6667 0.2500  6 H 2.58
Ce2 0.6667 0.3333 0.7500  6 H 2.58
Th1 0.0000 0.0000 0.0000  6 H 2.53
Th2 0.0000 0.0000 0.5000  6 H 2.53
H1 0.3333 0.6667 0.6210  3 Th 2.53, 3 Ce 2.58
H2 0.3333 0.6667 0.8790  3 Th 2.53, 3 Ce 2.58
H3 0.6667 0.3333 0.1210  3 Th 2.53, 3 Ce 2.58
H4 0.6667 0.3333 0.3790  3 Th 2.53, 3 Ce 2.58

---

Compound: Pu3IrAu
Source: Alexandria via LeMat-Bulk
Functional: PBE
Structure: optimized geometry

Summary:
As for the theoretical density: 16.079 g/cm³. The calculation puts the total magnetic moment at 49.82 μB/cell. The calculation puts the density of states at the Fermi level at 20.79 states/eV/f.u. The formation energy is -0.27 eV per atom.

Cell: 7.0296 7.0296 7.0296 Å, 90.00 90.00 90.00°
Closest atoms and distances in Å follow each position.
Atoms (fractional coordinates):
Pu1 0.0000 0.0000 0.0000  8 Pu 3.24, 6 Au 3.51
Pu2 0.2661 0.2661 0.2661  3 Ir 2.98, 3 Au 3.11, 4 Pu 3.24-3.29
Pu3 0.2661 0.2661 0.7339  3 Ir 2.98, 3 Au 3.11, 4 Pu 3.24-3.29
Pu4 0.2661 0.7339 0.2661  3 Ir 2.98, 3 Au 3.11, 4 Pu 3.24-3.29
Pu5 0.2661 0.7339 0.7339  3 Ir 2.98, 3 Au 3.11, 4 Pu 3.24-3.29
Pu6 0.7339 0.2661 0.2661  3 Ir 2.98, 3 Au 3.11, 4 Pu 3.24-3.29
Pu7 0.7339 0.2661 0.7339  3 Ir 2.98, 3 Au 3.11, 4 Pu 3.24-3.29
Pu8 0.7339 0.7339 0.2661  3 Ir 2.98, 3 Au 3.11, 4 Pu 3.24-3.29
Pu9 0.7339 0.7339 0.7339  3 Ir 2.98, 3 Au 3.11, 4 Pu 3.24-3.29
Ir1 0.0000 0.5000 0.5000  8 Pu 2.98
Ir2 0.5000 0.0000 0.5000  8 Pu 2.98
Ir3 0.5000 0.5000 0.0000  8 Pu 2.98
Au1 0.0000 0.0000 0.5000  8 Pu 3.11
Au2 0.0000 0.5000 0.0000  8 Pu 3.11
Au3 0.5000 0.0000 0.0000  8 Pu 3.11

---

Compound: Na3Y3TiS8
Source: Alexandria via LeMat-Bulk
Functional: PBE
Structure: optimized geometry

Summary:
As for the theoretical density: 3.002 g/cm³. The formation energy from raw total energies is -1.71 eV per atom. The calculation puts the total magnetic moment at 0.00 μB/cell.

Cell: 8.1114 8.1114 8.1114 Å, 57.31 57.31 57.31°
Closest atoms and distances in Å follow each position.
Atoms (fractional coordinates):
Na1 0.0000 0.5000 0.5000  6 S 2.90-2.91
Na2 0.5000 0.0000 0.5000  6 S 2.90-2.91
Na3 0.5000 0.5000 0.0000  6 S 2.90-2.91
Y1 0.0000 0.0000 0.5000  6 S 2.73-2.75
Y2 0.0000 0.5000 0.0000  6 S 2.73-2.75
Y3 0.5000 0.0000 0.0000  6 S 2.73-2.75
Ti1 0.5000 0.5000 0.5000  6 S 2.50
S1 0.2430 0.2430 0.2430  3 Y 2.73, 3 Na 2.90
S2 0.2654 0.7228 0.7228  1 Ti 2.50, 2 Y 2.75
S3 0.2772 0.2772 0.7346  1 Ti 2.50, 2 Y 2.75
S4 0.2772 0.7346 0.2772  1 Ti 2.50, 2 Y 2.75
S5 0.7228 0.2654 0.7228  1 Ti 2.50, 2 Y 2.75
S6 0.7228 0.7228 0.2654  1 Ti 2.50, 2 Y 2.75
S7 0.7346 0.2772 0.2772  1 Ti 2.50, 2 Y 2.75
S8 0.7570 0.7570 0.7570  3 Y 2.73, 3 Na 2.90

---

Compound: ScCu3Pd6
Source: Alexandria via LeMat-Bulk
Functional: PBE
Structure: optimized geometry

Summary:
As for the theoretical density: 9.397 g/cm³. The calculation puts the total magnetic moment at 0.00 μB/cell. The calculation puts the density of states at the Fermi level at 3.93 states/eV/f.u. The formation energy is -0.23 eV per atom.

Cell: 6.7628 6.7628 6.7628 Å, 91.61 91.61 91.61°
Closest atoms and distances in Å follow each position.
Atoms (fractional coordinates):
Sc1 0.0000 0.0000 0.0000  6 Pd 2.58
Sc2 0.5000 0.5000 0.5000  6 Cu 2.65, 6 Pd 2.72
Cu1 0.2296 0.7437 0.6288  5 Pd 2.49-2.74, 1 Sc 2.65, 2 Cu 2.73
Cu2 0.2563 0.3712 0.7704  5 Pd 2.49-2.74, 1 Sc 2.65, 2 Cu 2.73
Cu3 0.3712 0.7704 0.2563  5 Pd 2.49-2.74, 1 Sc 2.65, 2 Cu 2.73
Cu4 0.6288 0.2296 0.7437  5 Pd 2.49-2.74, 1 Sc 2.65, 2 Cu 2.73
Cu5 0.7437 0.6288 0.2296  5 Pd 2.49-2.74, 1 Sc 2.65, 2 Cu 2.73
Cu6 0.7704 0.2563 0.3712  5 Pd 2.49-2.74, 1 Sc 2.65, 2 Cu 2.73
Pd1 0.0085 0.8669 0.3542  3 Cu 2.49-2.65, 1 Sc 2.58, 1 Pd 2.64
Pd2 0.1225 0.4508 0.3541  6 Pd 2.69-2.94, 5 Cu 2.69-3.00, 1 Sc 2.72
Pd3 0.1331 0.6459 0.9915  3 Cu 2.49-2.65, 1 Sc 2.58, 1 Pd 2.64
Pd4 0.3541 0.0085 0.8669  3 Cu 2.49-2.65, 1 Sc 2.58, 1 Pd 2.64
Pd5 0.3541 0.1225 0.4508  6 Pd 2.69-2.94, 5 Cu 2.69-3.00, 1 Sc 2.72
Pd6 0.4508 0.3541 0.1225  6 Pd 2.69-2.94, 5 Cu 2.69-3.00, 1 Sc 2.72
Pd7 0.5492 0.6459 0.8775  6 Pd 2.69-2.94, 5 Cu 2.69-3.00, 1 Sc 2.72
Pd8 0.6459 0.8775 0.5492  6 Pd 2.69-2.94, 5 Cu 2.69-3.00, 1 Sc 2.72
Pd9 0.6458 0.9915 0.1331  3 Cu 2.49-2.65, 1 Sc 2.58, 1 Pd 2.64
Pd10 0.8669 0.3542 0.0085  3 Cu 2.49-2.65, 1 Sc 2.58, 1 Pd 2.64
Pd11 0.8775 0.5492 0.6459  6 Pd 2.69-2.94, 5 Cu 2.69-3.00, 1 Sc 2.72
Pd12 0.9915 0.1331 0.6459  3 Cu 2.49-2.65, 1 Sc 2.58, 1 Pd 2.64

---

Compound: PmGa2Bi
Source: Alexandria via LeMat-Bulk
Functional: PBE
Structure: optimized geometry

Summary:
As for the theoretical density: 8.399 g/cm³. The calculation puts the total magnetic moment at 0.00 μB/cell. The calculation puts the density of states at the Fermi level at 1.16 states/eV/f.u. As for the polymorph energy (0 for the lowest one): 0.000 eV per atom. The formation energy is -0.46 eV per atom.

Cell: 4.6949 4.6949 4.4257 Å, 90.00 90.00 90.00°
Closest atoms and distances in Å follow each position.
Atoms (fractional coordinates):
Pm1 0.0000 0.0000 0.0000  8 Ga 3.23, 4 Bi 3.32
Ga1 0.0000 0.5000 0.5000  4 Bi 3.23, 4 Pm 3.23, 4 Ga 3.32
Ga2 0.5000 0.0000 0.5000  4 Bi 3.23, 4 Pm 3.23, 4 Ga 3.32
Bi1 0.5000 0.5000 0.0000  8 Ga 3.23, 4 Pm 3.32

---

Compound: Sr2ZrBr2
Source: Alexandria via LeMat-Bulk
Functional: PBE
Structure: optimized geometry

Summary:
As for the theoretical density: 3.939 g/cm³. The formation energy from raw total energies is -0.51 eV per atom. The calculation puts the total magnetic moment at 3.83 μB/cell. The calculation puts the density of states at the Fermi level at 4.53 states/eV/f.u.

Cell: 6.3268 6.3268 6.3268 Å, 119.76 119.76 90.41°
Closest atoms and distances in Å follow each position.
Atoms (fractional coordinates):
Sr1 0.2500 0.7500 0.5000  4 Br 3.21
Sr2 0.7500 0.2500 0.5000  4 Br 3.21
Zr1 0.0000 0.0000 0.0000  2 Br 2.71
Br1 0.3039 0.3039 0.0000  1 Zr 2.71
Br2 0.6961 0.6961 0.0000  1 Zr 2.71

---

Compound: Ba3Sb4Pd2
Source: Alexandria via LeMat-Bulk
Functional: PBE
Structure: optimized geometry

Summary:
As for the theoretical density: 6.331 g/cm³. The formation energy from raw total energies is -0.87 eV per atom. The calculation puts the total magnetic moment at 0.00 μB/cell. The calculation puts the density of states at the Fermi level at 4.82 states/eV/f.u. As for the polymorph energy (0 for the lowest one): 0.000 eV per atom.

Cell: 6.8342 6.8342 9.4450 Å, 96.92 96.92 41.81°
Closest atoms and distances in Å follow each position.
Atoms (fractional coordinates):
Ba1 0.0000 0.0000 0.0000  8 Sb 3.56-3.76, 4 Pd 3.78
Ba2 0.3414 0.3414 0.3383  4 Pd 3.49-3.84, 8 Sb 3.62-3.84
Ba3 0.6586 0.6586 0.6617  4 Pd 3.49-3.84, 8 Sb 3.62-3.84
Sb1 0.0629 0.0629 0.3781  2 Pd 2.67, 1 Sb 2.97
Sb2 0.2834 0.2834 0.9290  1 Pd 2.63
Sb3 0.7166 0.7166 0.0710  1 Pd 2.63
Sb4 0.9371 0.9371 0.6219  2 Pd 2.67, 1 Sb 2.97
Pd1 0.3924 0.3924 0.7113  3 Sb 2.63-2.67
Pd2 0.6076 0.6076 0.2887  3 Sb 2.63-2.67